Record 1
Material: TbNiRh2
Method: DFT, GGA-PBE
State: relaxed

Calculated values
- total magnetic moment (μB/atom) = 0.245
- Fermi-level density of states (states/eV/f.u.) = 7.18
- formation energy (eV/atom) = -0.28

Unit cell a=4.517 b=4.517 c=4.519 alpha=60.01 beta=60.01 gamma=60.00
Last column: magnetic moment on the atom in μB.
Atoms (fractional coordinates):
Ni 0.500 0.500 0.500  0.59
Tb 0.000 0.000 0.000  -0.06
Rh 0.250 0.250 0.251  0.24
Rh 0.750 0.750 0.749  0.24

Record 2
Material: NaGaHg2H
Method: DFT, GGA-PBE
State: relaxed

Calculated values
- total magnetic moment (μB/atom) = 0.000
- Fermi-level density of states (states/eV/f.u.) = 2.02
- VASP energy (eV per cell) = -8.17

Unit cell a=5.557 b=5.557 c=3.529 alpha=90.00 beta=90.00 gamma=90.00
Atoms (fractional coordinates):
Hg 0.000 0.500 0.000
Hg 0.500 0.000 0.000
Ga 0.000 0.000 0.000
Na 0.500 0.500 0.500
H 0.000 0.000 0.500

Record 3
Material: Sr2MgPt2
Method: DFT, GGA-PBE
State: relaxed

Calculated values
- total magnetic moment (μB/atom) = 0.000
- Fermi-level density of states (states/eV/f.u.) = 1.84
- formation energy (eV/atom) = -0.68

Unit cell a=6.055 b=7.862 c=7.653 alpha=120.91 beta=113.31 gamma=90.00
Atoms (fractional coordinates):
Pt 0.402 0.645 0.803
Pt 0.598 0.355 0.197
Pt 0.098 0.841 0.197
Pt 0.902 0.159 0.803
Mg 0.750 0.500 0.000
Mg 0.250 0.500 0.000
Sr 0.850 0.700 0.700
Sr 0.150 0.300 0.300
Sr 0.350 0.000 0.700
Sr 0.650 0.000 0.300

Record 4
Material: MgCuBiTe3
Method: DFT, GGA-PBE
State: relaxed

Calculated values
- total magnetic moment (μB/atom) = 0.000
- Fermi-level density of states (states/eV/f.u.) = 0.95
- VASP energy (eV per cell) = -41.84

Unit cell a=4.364 b=8.856 c=9.412 alpha=103.81 beta=90.00 gamma=90.00
Atoms (fractional coordinates):
Te 0.250 0.578 0.856
Te 0.250 0.094 0.858
Te 0.750 0.236 0.519
Te 0.750 0.906 0.142
Te 0.750 0.422 0.144
Te 0.250 0.764 0.481
Cu 0.750 0.928 0.481
Cu 0.250 0.072 0.519
Bi 0.250 0.180 0.190
Bi 0.750 0.820 0.810
Mg 0.750 0.329 0.829
Mg 0.250 0.671 0.171

Record 5
Material: MgSc5Tl6
Method: DFT, GGA-PBE
State: relaxed

Calculated values
- total magnetic moment (μB/atom) = 0.000
- Fermi-level density of states (states/eV/f.u.) = 9.27
- formation energy (eV/atom) = -0.22

Unit cell a=5.051 b=8.840 c=8.840 alpha=119.57 beta=106.66 gamma=106.66
Atoms (fractional coordinates):
Tl 0.750 0.916 0.583
Tl 0.750 0.583 0.916
Tl 0.250 0.417 0.084
Tl 0.250 0.084 0.417
Tl 0.752 0.252 0.252
Tl 0.248 0.748 0.748
Sc 0.500 0.161 0.839
Sc 0.000 0.668 0.332
Sc 0.000 0.332 0.668
Sc 0.500 0.500 0.500
Sc 0.500 0.839 0.161
Mg 0.000 0.000 0.000

Record 6
Material: Ca3RhC2N6
Method: DFT, GGA-PBE
State: relaxed

Calculated values
- total magnetic moment (μB/atom) = 0.119
- Fermi-level density of states (states/eV/f.u.) = 4.81
- VASP energy (eV per cell) = -85.62

Unit cell a=5.231 b=5.231 c=6.195 alpha=90.00 beta=90.00 gamma=120.00
Last column: magnetic moment on the atom in μB.
Atoms (fractional coordinates):
N 0.366 0.183 0.723  0.11
N 0.183 0.817 0.277  0.11
N 0.817 0.634 0.723  0.11
N 0.634 0.817 0.277  0.11
N 0.183 0.366 0.277  0.11
N 0.817 0.183 0.723  0.11
C 0.333 0.667 0.287  0.01
C 0.667 0.333 0.713  0.01
Ca 0.667 0.333 0.298  0.01
Ca 0.000 0.000 0.000  0.01
Ca 0.333 0.667 0.702  0.01
Rh 0.000 0.000 0.500  0.46